Arrangement one

10
Lattice="-1.5986 3.0284 -0.2035 -2.8336 0.7636 4.7086 5.3413 5.0177 3.7991" Properties=species:S:1:pos:R:3 comment="VSi2W2 GGA-PBE optimized geometry" volume_a3_per_fu=73 density_g_cm3=10.828 crystal_system=monoclinic total_magnetization_mub_per_fu=0.00 dos_ef_per_ev_fu=2.40 pbc="T T T"
V 0.3539 4.5316 6.8298
W -0.9566 3.6575 4.1159
W 1.8657 5.1522 4.1882
W -0.5162 1.7632 1.3792
W 1.4253 7.0466 6.9249
V 0.5552 4.2781 1.4744
Si 2.7128 7.5333 4.0536
Si -0.2854 6.0270 5.1905
Si 1.1945 2.7827 3.1136
Si -1.8037 1.2765 4.2506

***

Arrangement two

10
Lattice="6.9386 0.0000 0.0000 0.0000 6.9386 0.0000 0.0000 0.0000 3.1426" Properties=species:S:1:pos:R:3 comment="VSi2W2 GGA-PBE optimized geometry" volume_a3_per_fu=76 density_g_cm3=10.422 crystal_system=tetragonal total_magnetization_mub_per_fu=0.39 dos_ef_per_ev_fu=3.40 pbc="T T T"
Si 4.5255 5.8825 1.5713
W 5.9368 4.4712 0.0000
V 0.0000 0.0000 0.0000
Si 1.0561 4.5255 1.5713
Si 5.8825 2.4132 1.5713
W 2.4675 5.9368 0.0000
W 1.0018 2.4675 0.0000
Si 2.4132 1.0561 1.5713
V 3.4693 3.4693 0.0000
W 4.4712 1.0018 0.0000

***

Arrangement three

5
Lattice="3.3233 0.0000 0.0000 0.0000 3.3233 0.0000 1.6617 1.6617 6.8339" Properties=species:S:1:pos:R:3 comment="VSi2W2 GGA-PBE optimized geometry" volume_a3_per_fu=75 density_g_cm3=10.446 crystal_system=tetragonal total_magnetization_mub_per_fu=0.00 dos_ef_per_ev_fu=1.47 pbc="T T T"
Si 1.6617 3.3233 3.4170
Si 3.3233 1.6617 3.4170
W 1.6617 1.6617 1.4586
W 3.3233 3.3233 5.3753
V 0.0000 0.0000 0.0000

***

On energetic grounds, arrangement one is preferred over the next structure by 11.1 kJ/mol of atoms.

***

Arrangement one

5
Lattice="-1.9293 -2.7964 2.9147 -2.6171 -1.5950 -3.2625 3.0767 -3.1102 -0.9475" Properties=species:S:1:pos:R:3 comment="VSiW3 GGA-PBE optimized geometry" volume_a3_per_fu=90 density_g_cm3=11.673 crystal_system=cubic total_magnetization_mub_per_fu=1.18 dos_ef_per_ev_fu=6.42 pbc="T T T"
V -0.7348 -3.7508 -0.6476
W -0.9646 -1.3982 1.4574
W 1.5384 -1.5551 -0.4737
W -1.3086 -0.7975 -1.6313
Si 0.0000 0.0000 0.0000

***

Arrangement two

5
Lattice="-1.4200 3.2029 -2.8652 -3.1757 1.2509 2.9722 2.8952 2.9430 1.8549" Properties=species:S:1:pos:R:3 comment="VSiW3 GGA-PBE optimized geometry" volume_a3_per_fu=93 density_g_cm3=11.294 crystal_system=cubic total_magnetization_mub_per_fu=0.00 dos_ef_per_ev_fu=5.38 pbc="T T T"
W 1.4476 1.4715 0.9275
V 0.0000 0.0000 0.0000
W -0.7100 1.6014 -1.4326
W -1.5879 0.6254 1.4861
Si -0.8503 3.6984 0.9810

***

On energetic grounds, arrangement one is preferred over the next structure by 45.9 kJ/mol of atoms.

***

Arrangement one

5
Lattice="4.5593 0.0000 0.0000 0.0000 4.5593 0.0000 0.0000 0.0000 4.5593" Properties=species:S:1:pos:R:3 comment="V3SiW GGA-PBE optimized geometry" volume_a3_per_fu=95 density_g_cm3=6.391 crystal_system=cubic total_magnetization_mub_per_fu=0.00 dos_ef_per_ev_fu=3.25 pbc="T T T"
V 2.2796 0.0000 0.0000
V 0.0000 2.2796 0.0000
W 0.0000 0.0000 0.0000
V 0.0000 0.0000 2.2796
Si 2.2796 2.2796 2.2796

***

Arrangement two

5
Lattice="4.3127 0.0000 0.0000 0.0000 4.3127 0.0000 0.0000 0.0000 4.3127" Properties=species:S:1:pos:R:3 comment="V3SiW GGA-PBE optimized geometry" volume_a3_per_fu=80 density_g_cm3=7.551 crystal_system=cubic total_magnetization_mub_per_fu=0.00 dos_ef_per_ev_fu=7.53 pbc="T T T"
V 0.0000 2.1563 0.0000
W 2.1563 2.1563 2.1563
V 0.0000 0.0000 2.1563
Si 0.0000 0.0000 0.0000
V 2.1563 0.0000 0.0000

***

Arrangement three

10
Lattice="0.1362 -4.5745 -0.0618 4.0563 0.0804 2.9895 -3.7080 0.7385 5.0113" Properties=species:S:1:pos:R:3 comment="V3SiW GGA-PBE optimized geometry" volume_a3_per_fu=72 density_g_cm3=8.457 crystal_system=monoclinic total_magnetization_mub_per_fu=0.00 dos_ef_per_ev_fu=5.37 pbc="T T T"
V 1.2771 -0.5038 2.4029
V -0.6502 -2.9673 3.0860
V -0.7925 -3.2518 5.5361
Si 0.7601 -2.7794 1.1673
V 1.1157 -3.2139 6.9424
V 1.1348 -0.7882 4.8530
V -0.6312 -0.5416 0.9966
W -1.6106 -0.8436 4.3320
Si -0.2755 -0.9761 6.7717
W 2.0952 -2.9119 3.6070

***

On energetic grounds, arrangement three is preferred over the next structure by 80.1 kJ/mol of atoms.

***

Arrangement one

5
Lattice="-1.8784 3.7375 -1.9147 0.7267 -1.7765 -4.1808 -4.1360 -2.0095 0.1350" Properties=species:S:1:pos:R:3 comment="ZrV3Si GGA-PBE optimized geometry" volume_a3_per_fu=97 density_g_cm3=4.642 crystal_system=cubic total_magnetization_mub_per_fu=0.00 dos_ef_per_ev_fu=7.53 pbc="T T T"
V 0.3633 -0.8883 -2.0904
Si -2.6439 -0.0243 -2.9802
V -2.0680 -1.0048 0.0675
Zr 0.0000 0.0000 0.0000
V -0.9392 1.8688 -0.9573

***

Arrangement two

5
Lattice="4.4480 0.0000 0.0000 0.0000 4.4480 0.0000 0.0000 0.0000 4.4480" Properties=species:S:1:pos:R:3 comment="ZrV3Si GGA-PBE optimized geometry" volume_a3_per_fu=88 density_g_cm3=5.135 crystal_system=cubic total_magnetization_mub_per_fu=0.00 dos_ef_per_ev_fu=5.63 pbc="T T T"
V 0.0000 0.0000 2.2240
Zr 2.2240 2.2240 2.2240
Si 0.0000 0.0000 0.0000
V 0.0000 2.2240 0.0000
V 2.2240 0.0000 0.0000

***

On energetic grounds, arrangement two is preferred over the next structure by 124.4 kJ/mol of atoms.